Crystalline BaGa2Sn at its relaxed geometry. Source: Alexandria, functional PBE-GGA.

Unit cell a=4.5843 b=5.3740 c=5.3740 alpha=100.82 beta=90.00 gamma=90.00
Atoms (fractional coordinates):
1 Ga 0.5000 0.5167 0.1250
2 Ga 0.5000 0.8750 0.4833
3 Ba 0.0000 0.0000 0.0000
4 Sn 0.5000 0.3883 0.6117

The density of states at the Fermi level is 2.7 states/eV/cell. The total energy comes out at -12.75 eV/f.u.



Crystalline Mg2Sc at its relaxed geometry. Source: Alexandria, functional PBE-GGA.

Unit cell a=8.3483 b=8.3483 c=5.1739 alpha=90.00 beta=90.00 gamma=157.14
Atoms (fractional coordinates):
1 Sc 0.5587 0.4413 0.7500
2 Sc 0.4413 0.5587 0.2500
3 Mg 0.2258 0.7742 0.7500
4 Mg 0.7742 0.2258 0.2500
5 Mg 0.8928 0.1072 0.7500
6 Mg 0.1072 0.8928 0.2500

The density of states at the Fermi level is 6.7 states/eV/cell. The total energy comes out at -9.58 eV/f.u.



Crystalline PmMgP2Pt5 at its relaxed geometry. Source: Alexandria, functional PBE-GGA.

Unit cell a=4.1337 b=4.1337 c=10.2532 alpha=90.00 beta=90.00 gamma=90.00
Atoms (fractional coordinates):
1 P 0.5000 0.5000 0.2794
2 P 0.5000 0.5000 0.7206
3 Mg 0.0000 0.0000 0.0000
4 Pt 0.5000 0.5000 0.5000
5 Pt 0.0000 0.5000 0.8225
6 Pt 0.5000 0.0000 0.1775
7 Pt 0.5000 0.0000 0.8225
8 Pt 0.0000 0.5000 0.1775
9 Pm 0.0000 0.0000 0.5000

The density of states at the Fermi level is 4.8 states/eV/cell. The total energy comes out at -53.78 eV/f.u.



Crystalline K2AlBP at its relaxed geometry. Source: Alexandria, functional PBE-GGA.

Unit cell a=6.6138 b=6.6138 c=3.4383 alpha=90.00 beta=90.00 gamma=90.00
Atoms (fractional coordinates):
1 P 0.0000 0.0000 0.5000
2 K 0.0000 0.5000 0.0000
3 K 0.5000 0.0000 0.0000
4 B 0.0000 0.0000 0.0000
5 Al 0.5000 0.5000 0.5000

The density of states at the Fermi level is 3.9 states/eV/cell. The total energy comes out at -15.72 eV/f.u.



Crystalline CaTcSb2 at its relaxed geometry. Source: Alexandria, functional PBE-GGA.

Unit cell a=4.8678 b=4.8678 c=7.0180 alpha=72.80 beta=72.80 gamma=41.66
Atoms (fractional coordinates):
1 Tc 0.4808 0.4808 0.3367
2 Sb 0.1799 0.1799 0.4001
3 Sb 0.0262 0.0262 0.0293
4 Ca 0.8132 0.8132 0.7339

The density of states at the Fermi level is 3.2 states/eV/cell. The value obtained for the uncorrected formation energy is -0.181 eV per atom.



Crystalline CeMg2RuAu at its relaxed geometry. Source: Alexandria, functional PBE-GGA.

Unit cell a=4.9519 b=4.9533 c=5.2871 alpha=90.00 beta=90.00 gamma=90.00
Atoms (fractional coordinates):
1 Mg 0.0000 0.5000 0.9252
2 Mg 0.5000 0.0000 0.9252
3 Ru 0.0000 0.0000 0.0449
4 Au 0.5000 0.5000 0.6410
5 Ce 0.0000 0.0000 0.4638

The density of states at the Fermi level is 4.9 states/eV/cell. The total energy comes out at -22.44 eV/f.u.



Crystalline PmY3Ho2Tm6 at its relaxed geometry. Source: Alexandria, functional PBE-GGA.

Unit cell a=6.1090 b=6.1090 c=11.6881 alpha=94.99 beta=94.99 gamma=119.94
Atoms (fractional coordinates):
1 Pm 0.0000 0.0000 0.0000
2 Ho 0.3333 0.6667 0.0000
3 Ho 0.6667 0.3333 0.0000
4 Tm 0.9159 0.5822 0.7504
5 Tm 0.7502 0.7502 0.2495
6 Tm 0.5822 0.9159 0.7504
7 Tm 0.2498 0.2498 0.7505
8 Tm 0.0841 0.4178 0.2496
9 Tm 0.4178 0.0841 0.2496
10 Y 0.5000 0.5000 0.5000
11 Y 0.1669 0.8331 0.5000
12 Y 0.8331 0.1669 0.5000

The density of states at the Fermi level is 17.2 states/eV/cell. The total energy comes out at -59.82 eV/f.u.



Crystalline Rb2NaNpO5 at its relaxed geometry. Source: Alexandria, functional PBE-GGA.

Unit cell a=4.3165 b=6.1097 c=7.6180 alpha=113.64 beta=106.46 gamma=90.00
Atoms (fractional coordinates):
1 O 0.3944 0.1208 0.7887
2 O 0.3944 0.6679 0.7887
3 O 0.6056 0.3321 0.2113
4 O 0.6056 0.8792 0.2113
5 O 0.0000 0.0000 0.0000
6 Na 0.0000 0.5000 0.0000
7 Rb 0.7772 0.7772 0.5545
8 Rb 0.2228 0.2228 0.4455
9 Np 0.5000 0.0000 0.0000

The value obtained for the uncorrected formation energy is -2.150 eV per atom.



no.,total magnetization (Bohr magnetons per cell)
1,0.00
2,0.00
3,0.00
4,0.00
5,0.00
6,0.21
7,0.00
8,0.00